Material: BaCaY2Ni
Method: DFT, PBE-GGA
State: relaxed

Structure (POSCAR):
```
BaCaY2Ni
1.0
5.422 0.000 0.000
0.000 5.422 0.000
0.000 0.000 5.843
Y Ni Ca Ba
2 1 1 1
direct
0.000 0.500 0.000 Y
0.500 0.000 0.000 Y
0.000 0.000 0.000 Ni
0.000 0.000 0.500 Ca
0.500 0.500 0.500 Ba
```

As for the energy of formation from the pure elements: -1.02 kcal/mol of atoms. The value obtained for the density of states at the Fermi level is 4.6 states/eV/cell. The calculation puts the spin magnetization at 0.00 μB/f.u.